1.
Below is an optimized crystal structure of BaCaGa2, with properties calculated at the PBE level.

Summary:
* calculated volume: 32.9 Å³ per atom
* energy: -2.604 eV/atom
* energy relative to the elements: -0.109 eV per atom
* magnetic moment: 0.00 μB/f.u.
* Fermi-level density of states: 1.0301 states/eV/atom

Lattice parameters (Å, degrees): 4.0120 4.0120 28.2854 90.00 90.00 120.00
Closest atoms and distances in Å follow each position.
Space group R-3m (No. 166, hexagonal axes)
Unique sites:
Ba: 0.0000 0.0000 0.0000  6 Ga 3.44
Ca: 0.0000 0.0000 0.5000  6 Ga 3.17
Ga: 0.0000 0.0000 0.2434  3 Ca 3.17, 3 Ba 3.44

---

2.
Below is an optimized crystal structure of In4Ag15Hg, with properties calculated at the PBE level.

Summary:
* calculated volume: 18.9 Å³ per atom
* energy: -2.716 eV/atom
* energy relative to the elements: -0.015 eV per atom
* magnetic moment: 0.00 μB/f.u.
* Fermi-level density of states: 0.1304 states/eV/atom

Lattice parameters (Å, degrees): 4.3101 4.3101 20.3681 90.00 90.00 90.00
Closest atoms and distances in Å follow each position.
Space group P4/mmm (No. 123)
Unique sites:
In: 0.0000 0.0000 0.0996  12 Ag 2.96-3.05
In: 0.0000 0.0000 0.3004  12 Ag 2.95-3.05
Ag: 0.0000 0.5000 0.0000  4 In 2.96, 8 Ag 2.96-3.05
Ag: 0.0000 0.5000 0.2000  8 Ag 2.96-3.05, 4 In 2.97
Ag: 0.0000 0.5000 0.3996  2 In 2.95, 8 Ag 2.97-3.05, 2 Hg 2.97
Ag: 0.5000 0.5000 0.0999  8 Ag 2.96-2.97, 4 In 3.05
Ag: 0.5000 0.5000 0.2995  8 Ag 2.96-2.97, 4 In 3.05
Ag: 0.5000 0.5000 0.5000  8 Ag 2.97, 4 Hg 3.05
Hg: 0.0000 0.0000 0.5000  12 Ag 2.97-3.05

---

3.
Below is an optimized crystal structure of PrUSeO2, with properties calculated at the PBE level.

Summary:
* calculated volume: 19.1 Å³ per atom
* energy: -8.481 eV/atom
* uncorrected formation energy: -12.93 eV/f.u.
* magnetic moment: 3.00 μB/f.u.
* Fermi-level density of states: 1.4045 states/eV/atom

Lattice parameters (Å, degrees): 3.9209 3.9209 12.4115 90.00 90.00 90.00
Closest atoms and distances in Å follow each position.
Space group I4mm (No. 107)
Unique sites:
Pr: 0.0000 0.0000 0.0000  4 O 2.39
U: 0.0000 0.0000 0.2944  4 O 2.29
Se: 0.0000 0.0000 0.6473  4 U 3.32, 4 Pr 3.32, 4 O 3.60
O: 0.0000 0.5000 0.3905  2 U 2.29, 2 Pr 2.39

---

4.
Below is an optimized crystal structure of Ac2TbPrO6, with properties calculated at the PBE level.

Summary:
* calculated volume: 17.2 Å³ per atom
* energy: -8.081 eV/atom
* uncorrected formation energy: -33.44 eV/f.u.
* magnetic moment: 0.00 μB/f.u.
* Fermi-level density of states: 0.0000 states/eV/atom

Lattice parameters (Å, degrees): 6.1243 6.3304 10.7730 90.00 124.42 90.00
Closest atoms and distances in Å follow each position.
Space group P2_1/c (No. 14)
Unique sites:
Ac: 0.2345 0.0485 0.2510  4 O 2.47-2.62
Tb: 0.0000 0.0000 0.5000  6 O 2.28-2.34
Pr: 0.5000 0.0000 0.0000  6 O 2.39-2.44
O: 0.1157 0.2013 0.9272  1 Tb 2.31, 1 Pr 2.39, 1 Ac 2.48
O: 0.2316 0.6905 0.9313  1 Tb 2.28, 1 Pr 2.39, 1 Ac 2.47
O: 0.3738 0.0627 0.7436  1 Tb 2.34, 1 Pr 2.44, 2 Ac 2.47-2.62

---

5.
Below is an optimized crystal structure of YAl4Au8, with properties calculated at the PBE level.

Summary:
* calculated volume: 18.1 Å³ per atom
* energy: -4.135 eV/atom
* energy relative to the elements: -0.469 eV per atom
* magnetic moment: 0.00 μB/f.u.
* Fermi-level density of states: 0.5052 states/eV/atom

Lattice parameters (Å, degrees): 9.1965 9.1965 5.5603 90.00 90.00 90.00
Closest atoms and distances in Å follow each position.
Space group I4/mmm (No. 139)
Unique sites:
Y: 0.0000 0.0000 0.0000  4 Au 2.98
Al: 0.2500 0.2500 0.2500  8 Au 2.70-2.77, 2 Al 2.78
Au: 0.0000 0.2193 0.5000  4 Al 2.70, 4 Au 2.85-2.94
Au: 0.0000 0.3244 0.0000  4 Al 2.77, 4 Au 2.94-3.05, 1 Y 2.98

---

6.
Below is an optimized crystal structure of Ac5CdPb6, with properties calculated at the PBE level.

Summary:
* calculated volume: 34.6 Å³ per atom
* energy: -4.080 eV/atom
* energy relative to the elements: -0.438 eV per atom
* magnetic moment: 0.00 μB/f.u.
* Fermi-level density of states: 0.6573 states/eV/atom

Lattice parameters (Å, degrees): 5.2811 9.5988 16.3974 90.00 90.00 90.00
Closest atoms and distances in Å follow each position.
Space group Immm (No. 71)
Unique sites:
Ac: 0.0000 0.0000 0.0000  8 Pb 3.50-3.67, 4 Ac 3.86
Ac: 0.0000 0.0000 0.3581  6 Pb 3.42-3.61, 2 Cd 3.52
Ac: 0.0000 0.5000 0.3282  8 Pb 3.55-3.63, 2 Ac 3.86
Cd: 0.0000 0.5000 0.0000  4 Ac 3.52, 8 Pb 3.64-3.70
Pb: 0.0000 0.2476 0.1702  7 Ac 3.55-3.89, 1 Cd 3.70, 4 Pb 3.72-3.84
Pb: 0.0000 0.2608 0.5000  6 Ac 3.42-3.63, 2 Cd 3.64

---

7.
Below is an optimized crystal structure of Pu3SnAu3, with properties calculated at the PBE level.

Summary:
* calculated volume: 21.9 Å³ per atom
* energy: -8.102 eV/atom
* energy relative to the elements: 0.017 eV per atom
* magnetic moment: 0.00 μB/f.u.
* Fermi-level density of states: 1.6172 states/eV/atom

Lattice parameters (Å, degrees): 10.0272 10.0272 3.5280 90.00 90.00 120.00
Closest atoms and distances in Å follow each position.
Space group P6_3/m (No. 176)
Unique sites:
Pu: 0.0355 0.5866 0.2500  2 Pu 2.32
Sn: 0.3333 0.6667 0.7500  9 Pu 3.21-3.28, 2 Sn 3.53
Au: 0.0745 0.2462 0.2500  4 Au 2.81, 3 Pu 2.96-3.00

---

8.
Below is an optimized crystal structure of Pb2CS, with properties calculated at the PBE level.

Summary:
* calculated volume: 21.0 Å³ per atom
* energy: -4.020 eV/atom
* E above lowest polymorph: 383 meV per atom
* uncorrected formation energy: 4.69 eV/f.u.
* magnetic moment: 0.00 μB/f.u.
* Fermi-level density of states: 0.6421 states/eV/atom

Lattice parameters (Å, degrees): 6.9478 6.9478 6.9478 90.00 90.00 90.00
Closest atoms and distances in Å follow each position.
Space group Fm-3m (No. 225)
Unique sites:
Pb: 0.2500 0.2500 0.2500  4 S 3.01, 4 C 3.01
C: 0.0000 0.0000 0.0000  8 Pb 3.01
S: 0.0000 0.0000 0.5000  8 Pb 3.01

---

9.
Below is an optimized crystal structure of ThGa12Ni6, with properties calculated at the PBE level.

Summary:
* calculated volume: 15.5 Å³ per atom
* energy: -4.452 eV/atom
* energy relative to the elements: -0.324 eV per atom
* magnetic moment: 0.00 μB/f.u.
* Fermi-level density of states: 0.5029 states/eV/atom

Lattice parameters (Å, degrees): 10.9208 10.9208 8.5632 90.00 90.00 120.00
Closest atoms and distances in Å follow each position.
Space group R-3m (No. 166, hexagonal axes)
Unique sites:
Th: 0.0000 0.0000 0.0000  6 Ga 3.20
Ga: 0.0000 0.3859 0.5000  4 Ni 2.39-2.58, 1 Ga 2.49
Ga: 0.0855 0.1709 0.3229  3 Ni 2.41-2.52, 2 Ga 2.70
Ni: 0.0470 0.5235 0.2412  7 Ga 2.39-2.58

---

10.
Below is an optimized crystal structure of Cs6Rb3Cd2, with properties calculated at the PBE level.

Summary:
* calculated volume: 87.7 Å³ per atom
* energy: -0.857 eV/atom
* energy relative to the elements: 0.039 eV per atom
* magnetic moment: 0.00 μB/f.u.
* Fermi-level density of states: 0.8778 states/eV/atom

Lattice parameters (Å, degrees): 6.7603 6.7603 42.2037 90.00 90.00 90.00
Closest atoms and distances in Å follow each position.
Space group I4/mmm (No. 139)
Unique sites:
Cs: 0.0000 0.0000 0.2062  5 Rb 4.93-4.94
Cs: 0.0000 0.5000 0.0872  2 Cd 4.04
Rb: 0.0000 0.0000 0.3230  9 Cs 4.93-5.08
Rb: 0.0000 0.0000 0.5000  8 Cs 5.00, 8 Cd 5.00
Cd: 0.0000 0.0000 0.0346  1 Cd 2.92

---

11.
Below is an optimized crystal structure of AlVW2, with properties calculated at the PBE level.

Summary:
* calculated volume: 16.5 Å³ per atom
* energy: -8.916 eV/atom
* energy relative to the elements: 0.776 eV per atom
* magnetic moment: 0.00 μB/f.u.
* Fermi-level density of states: 0.7112 states/eV/atom

Lattice parameters (Å, degrees): 7.0227 7.0227 5.3542 90.00 90.00 90.00
Closest atoms and distances in Å follow each position.
Space group I-42d (No. 122)
Unique sites:
Al: 0.0000 0.0000 0.0000  4 W 2.68, 2 V 2.68
V: 0.0000 0.0000 0.5000  4 W 2.47, 2 Al 2.68
W: 0.2285 0.2500 0.6250  2 V 2.47, 2 Al 2.68, 2 W 2.69

---

12.
Below is an optimized crystal structure of RbBTeIr2, with properties calculated at the PBE level.

Summary:
* calculated volume: 24.4 Å³ per atom
* energy: -4.143 eV/atom
* uncorrected formation energy: 7.80 eV/f.u.
* magnetic moment: 0.92 μB/f.u.
* Fermi-level density of states: 0.9289 states/eV/atom

Lattice parameters (Å, degrees): 5.0229 5.0229 4.8404 90.00 90.00 90.00
Closest atoms and distances in Å follow each position.
Space group P4/mmm (No. 123)
Unique sites:
Rb: 0.0000 0.0000 0.0000  8 Ir 3.49, 4 B 3.55
B: 0.5000 0.5000 0.0000  2 Te 2.42
Te: 0.5000 0.5000 0.5000  2 B 2.42, 4 Ir 2.51
Ir: 0.0000 0.5000 0.5000  2 Te 2.51